Density functional theory data (PBE-GGA) for an optimized crystal structure of Ba3Tl5S12.

abc: 16.786 16.786 16.786
angles: 90.00 90.00 90.00
Space group Ia-3d (No. 230)
Asymmetric unit:
Ba (0.000, 0.250, 0.125) [24 per cell]
Tl (0.000, 0.000, 0.000) [16 per cell]
Tl (0.000, 0.250, 0.375) [24 per cell]
S (0.027, 0.060, 0.649) [96 per cell]

Summary:
electronic total energy	-3.89	eV per atom
energy relative to the elements, uncorrected	-0.529	eV per atom

=====

Density functional theory data (PBE-GGA) for an optimized crystal structure of Ba2TmTlS5.

abc: 4.145 18.320 13.019
angles: 90.00 90.00 90.00
Space group Cmc2_1 (No. 36)
Asymmetric unit:
Ba (0.000, 0.118, 0.000) [4 per cell]
Ba (0.000, 0.137, 0.628) [4 per cell]
Tm (0.000, 0.212, 0.334) [4 per cell]
Tl (0.000, 0.454, 0.761) [4 per cell]
S (0.000, 0.056, 0.377) [4 per cell]
S (0.000, 0.290, 0.969) [4 per cell]
S (0.000, 0.312, 0.692) [4 per cell]
S (0.000, 0.354, 0.318) [4 per cell]
S (0.000, 0.494, 0.086) [4 per cell]

Summary:
electronic total energy	-5.06	eV per atom
energy relative to the elements, uncorrected	-1.578	eV per atom

=====

Density functional theory data (PBE-GGA) for an optimized crystal structure of Ba4U3TlS12.

abc: 10.540 10.540 10.540
angles: 90.00 90.00 90.00
Space group Im-3m (No. 229)
Asymmetric unit:
Ba (0.250, 0.250, 0.250) [8 per cell]
U (0.000, 0.000, 0.500) [6 per cell]
Tl (0.000, 0.000, 0.000) [2 per cell]
S (0.000, 0.000, 0.264) [12 per cell]
S (0.000, 0.250, 0.500) [12 per cell]

Summary:
electronic total energy	-6.17	eV per atom
energy relative to the elements, uncorrected	-1.496	eV per atom

=====

Density functional theory data (PBE-GGA) for an optimized crystal structure of BaUTl2S4.

abc: 7.615 4.241 7.836
angles: 90.00 108.68 90.00
Space group P2/m (No. 10)
Asymmetric unit:
Ba (0.000, 0.000, 0.000) [1 per cell]
U (0.500, 0.500, 0.000) [1 per cell]
Tl (0.000, 0.500, 0.500) [1 per cell]
Tl (0.500, 0.000, 0.500) [1 per cell]
S (0.284, 0.500, 0.207) [2 per cell]
S (0.298, 0.000, 0.801) [2 per cell]

Summary:
electronic total energy	-5.47	eV per atom
energy relative to the elements, uncorrected	-1.167	eV per atom

=====

Density functional theory data (PBE-GGA) for an optimized crystal structure of BaUTl2S6.

abc: 7.215 7.453 12.838
angles: 90.00 122.75 90.00
Space group P2_1/c (No. 14)
Asymmetric unit:
Ba (0.000, 0.000, 0.000) [2 per cell]
U (0.500, 0.000, 0.500) [2 per cell]
Tl (0.218, 0.032, 0.741) [4 per cell]
S (0.157, 0.104, 0.279) [4 per cell]
S (0.245, 0.635, 0.057) [4 per cell]
S (0.463, 0.200, 0.079) [4 per cell]

Summary:
electronic total energy	-5.14	eV per atom
energy relative to the elements, uncorrected	-0.869	eV per atom

=====

Density functional theory data (PBE-GGA) for an optimized crystal structure of BaTl2VS4.

abc: 8.371 9.590 6.269
angles: 90.00 90.00 90.00
Space group Pmn2_1 (No. 31)
Asymmetric unit:
Ba (0.000, 0.090, 0.000) [2 per cell]
Tl (0.203, 0.361, 0.514) [4 per cell]
V (0.000, 0.793, 0.428) [2 per cell]
S (0.000, 0.021, 0.500) [2 per cell]
S (0.000, 0.773, 0.074) [2 per cell]
S (0.227, 0.687, 0.517) [4 per cell]

Summary:
electronic total energy	-4.97	eV per atom
energy relative to the elements, uncorrected	-0.939	eV per atom

=====

Density functional theory data (PBE-GGA) for an optimized crystal structure of BaTlWS2.

abc: 5.849 5.849 6.294
angles: 90.00 90.00 90.00
Space group P4/mmm (No. 123)
Asymmetric unit:
Ba (0.000, 0.000, 0.000) [1 per cell]
Tl (0.500, 0.500, 0.500) [1 per cell]
W (0.000, 0.000, 0.500) [1 per cell]
S (0.000, 0.500, 0.000) [2 per cell]

Summary:
electronic total energy	-3.78	eV per atom
energy relative to the elements, uncorrected	1.320	eV per atom

=====

Density functional theory data (PBE-GGA) for an optimized crystal structure of Ba2ZrTlS5.

abc: 4.106 18.110 13.154
angles: 90.00 90.00 90.00
Space group Cmc2_1 (No. 36)
Asymmetric unit:
Ba (0.000, 0.110, 0.000) [4 per cell]
Ba (0.000, 0.138, 0.618) [4 per cell]
Zr (0.000, 0.214, 0.330) [4 per cell]
Tl (0.000, 0.469, 0.770) [4 per cell]
S (0.000, 0.076, 0.385) [4 per cell]
S (0.000, 0.280, 0.959) [4 per cell]
S (0.000, 0.307, 0.699) [4 per cell]
S (0.000, 0.353, 0.316) [4 per cell]
S (0.000, 0.491, 0.076) [4 per cell]

Summary:
electronic total energy	-5.36	eV per atom
energy relative to the elements, uncorrected	-1.425	eV per atom

=====

Density functional theory data (PBE-GGA) for an optimized crystal structure of BaTmS4.

abc: 13.884 6.920 7.630
angles: 90.00 99.98 90.00
Space group C2/m (No. 12)
Asymmetric unit:
Ba (0.191, 0.000, 0.137) [4 per cell]
Tm (0.052, 0.500, 0.235) [4 per cell]
S (0.000, 0.235, 0.000) [4 per cell]
S (0.072, 0.286, 0.549) [8 per cell]
S (0.234, 0.500, 0.217) [4 per cell]

Summary:
electronic total energy	-5.17	eV per atom
energy relative to the elements, uncorrected	-1.352	eV per atom

=====

Density functional theory data (PBE-GGA) for an optimized crystal structure of BaTm4S8.

abc: 7.8291 7.8291 22.5950
angles: 90.00 90.00 120.00
Space group R-3m (No. 166, hexagonal axes)
Asymmetric unit:
Ba (0.0000, 0.0000, 0.0000) [3 per cell]
Tm (0.0000, 0.0000, 0.5000) [3 per cell]
Tm (0.0000, 0.5000, 0.5000) [9 per cell]
S (0.0000, 0.0000, 0.2304) [6 per cell]
S (0.0011, 0.5006, 0.7680) [18 per cell]

Summary:
electronic total energy	-5.84	eV per atom
energy relative to the elements, uncorrected	-1.774	eV per atom

=====

Density functional theory data (PBE-GGA) for an optimized crystal structure of BaTmS2.

abc: 7.030 4.058 7.525
angles: 90.00 108.03 90.00
Space group C2/m (No. 12)
Asymmetric unit:
Ba (0.000, 0.000, 0.000) [2 per cell]
Tm (0.000, 0.500, 0.500) [2 per cell]
S (0.235, 0.000, 0.704) [4 per cell]

Summary:
ΔE to the lowest computed polymorph	0.000	eV per atom
electronic total energy	-5.65	eV per atom
energy relative to the elements, uncorrected	-1.984	eV per atom

=====

Density functional theory data (PBE-GGA) for an optimized crystal structure of Ba2TmS3.

abc: 4.305 5.157 16.585
angles: 90.00 90.00 90.00
Space group Immm (No. 71)
Asymmetric unit:
Ba (0.000, 0.000, 0.149) [4 per cell]
Tm (0.000, 0.000, 0.500) [2 per cell]
S (0.000, 0.000, 0.339) [4 per cell]
S (0.000, 0.500, 0.500) [2 per cell]

Summary:
electronic total energy	-5.36	eV per atom
energy relative to the elements, uncorrected	-1.910	eV per atom

=====

Density functional theory data (PBE-GGA) for an optimized crystal structure of BaTm4S6.

abc: 3.942 12.843 20.231
angles: 90.00 90.00 90.00
Space group Cmcm (No. 63)
Asymmetric unit:
Ba (0.000, 0.158, 0.250) [4 per cell]
Tm (0.000, 0.096, 0.626) [8 per cell]
Tm (0.000, 0.363, 0.539) [8 per cell]
S (0.000, 0.000, 0.000) [4 per cell]
S (0.000, 0.158, 0.750) [4 per cell]
S (0.000, 0.268, 0.084) [8 per cell]
S (0.000, 0.462, 0.654) [8 per cell]

Summary:
electronic total energy	-6.09	eV per atom
energy relative to the elements, uncorrected	-2.041	eV per atom

=====

Density functional theory data (PBE-GGA) for an optimized crystal structure of BaTmS2.

abc: 4.0047 4.0047 22.2602
angles: 90.00 90.00 120.00
Space group R3m (No. 160, hexagonal axes)
Asymmetric unit:
Ba (0.0000, 0.0000, 0.0000) [3 per cell]
Tm (0.0000, 0.0000, 0.8270) [3 per cell]
S (0.0000, 0.0000, 0.2296) [3 per cell]
S (0.0000, 0.0000, 0.4284) [3 per cell]

Summary:
ΔE to the lowest computed polymorph	0.061	eV per atom
electronic total energy	-5.58	eV per atom
energy relative to the elements, uncorrected	-1.922	eV per atom

=====

Density functional theory data (PBE-GGA) for an optimized crystal structure of BaTm2US8.

abc: 5.993 6.361 8.901
angles: 89.91 89.82 89.38
Space group P-1 (No. 2)
Asymmetric unit:
Ba (0.000, 0.000, 0.000) [1 per cell]
Tm (0.499, 0.500, 0.290) [2 per cell]
U (0.000, 0.000, 0.500) [1 per cell]
S (0.240, 0.847, 0.708) [2 per cell]
S (0.242, 0.850, 0.292) [2 per cell]
S (0.252, 0.335, 0.501) [2 per cell]
S (0.329, 0.456, 0.000) [2 per cell]

Summary:
electronic total energy	-6.04	eV per atom
energy relative to the elements, uncorrected	-1.439	eV per atom

=====

Density functional theory data (PBE-GGA) for an optimized crystal structure of Ba2TmUS6.

abc: 7.204 7.411 12.577
angles: 90.00 124.95 90.00
Space group P2_1/c (No. 14)
Asymmetric unit:
Ba (0.236, 0.056, 0.251) [4 per cell]
Tm (0.500, 0.000, 0.000) [2 per cell]
U (0.000, 0.000, 0.500) [2 per cell]
S (0.161, 0.211, 0.958) [4 per cell]
S (0.250, 0.704, 0.959) [4 per cell]
S (0.324, 0.016, 0.747) [4 per cell]

Summary:
electronic total energy	-6.32	eV per atom
energy relative to the elements, uncorrected	-1.887	eV per atom

=====

Density functional theory data (PBE-GGA) for an optimized crystal structure of Ba2YTmS4.

abc: 7.083 4.100 7.517
angles: 90.00 108.39 90.00
Space group P2/m (No. 10)
Asymmetric unit:
Ba (0.000, 0.000, 0.000) [1 per cell]
Ba (0.500, 0.500, 0.000) [1 per cell]
Y (0.000, 0.500, 0.500) [1 per cell]
Tm (0.500, 0.000, 0.500) [1 per cell]
S (0.240, 0.000, 0.707) [2 per cell]
S (0.268, 0.500, 0.294) [2 per cell]

Summary:
electronic total energy	-5.91	eV per atom
energy relative to the elements, uncorrected	-1.998	eV per atom

=====

Theoretical density: 5.11; 5.43; 5.26; 6.32; 5.59; 4.79; 4.55; 4.96; 4.00; 4.44; 6.03; 4.87; 6.52; 5.97; 4.75; 5.27; 5.30 (Mg/m³)